No. 1
## K2MnBeSe (PBE)

Data for crystalline K2MnBeSe at its relaxed geometry.

Geometry as POSCAR:
```
K2MnBeSe
1.0
6.361 0.000 0.000
0.000 4.728 0.000
0.000 0.000 6.361
Be K Mn Se
1 2 1 1
direct
0.500 0.500 0.500
0.000 0.000 0.500
0.500 0.000 0.000
0.000 0.500 0.000
0.000 0.000 0.000
```

Results
ΔE_f (raw) (eV per atom): 0.402

***

No. 2
## KSr2MnBe (PBE)

Data for crystalline KSr2MnBe at its relaxed geometry.

Geometry as POSCAR:
```
KSr2MnBe
1.0
-0.737 -2.175 -5.508
5.263 -2.767 0.388
-2.699 -4.817 2.263
Sr K Mn Be
2 1 1 1
direct
0.000 0.000 0.500
0.500 0.000 0.000
0.000 0.500 0.000
0.500 0.500 0.500
0.000 0.000 0.000
```

Results
Final energy (eV per atom): -2.61

***

No. 3
## KMnBeTe3 (PBE)

Data for crystalline KMnBeTe3 at its relaxed geometry.

Geometry as POSCAR:
```
KMnBeTe3
1.0
-3.724 -1.107 0.881
2.479 -2.554 7.270
-3.493 11.996 0.315
K Mn Be Te
2 2 2 6
direct
0.250 0.286 0.308
0.750 0.714 0.692
0.250 0.644 0.128
0.750 0.356 0.872
0.250 0.094 0.590
0.750 0.906 0.410
0.750 0.885 0.208
0.250 0.115 0.792
0.250 0.769 0.461
0.750 0.231 0.539
0.750 0.405 0.107
0.250 0.595 0.893
```

Results
ΔE_f (raw) (eV per atom): -0.450

***

No. 4
## KBe2Mo (PBE)

Data for crystalline KBe2Mo at its relaxed geometry.

Geometry as POSCAR:
```
KBe2Mo
1.0
4.874 -0.006 0.000
4.226 2.430 0.000
1.174 0.313 6.475
Be Mo K
2 1 1
direct
0.024 0.024 0.019
0.699 0.699 0.853
0.295 0.295 0.104
0.482 0.482 0.524
```

Results
Final energy (eV per atom): -4.01

***

No. 5
## K4BeMo (PBE)

Data for crystalline K4BeMo at its relaxed geometry.

Geometry as POSCAR:
```
K4BeMo
1.0
0.000 5.155 5.155
5.155 0.000 5.155
5.155 5.155 0.000
K Be Mo
4 1 1
direct
0.875 0.375 0.375
0.375 0.375 0.875
0.375 0.875 0.375
0.375 0.375 0.375
0.000 0.000 0.000
0.750 0.750 0.750
```

Results
Final energy (eV per atom): -1.72

***

No. 6
## KBe2Mo (PBE)

Data for crystalline KBe2Mo at its relaxed geometry.

Geometry as POSCAR:
```
KBe2Mo
1.0
0.000 3.259 3.259
3.259 0.000 3.259
3.259 3.259 0.000
Be Mo K
2 1 1
direct
0.250 0.250 0.250
0.750 0.750 0.750
0.500 0.500 0.500
0.000 0.000 0.000
```

Results
Final energy (eV per atom): -3.37

***

Number 1: theoretical density 1919 kg/m3, total magnetic moment 3.31 μB/f.u.. Number 2: theoretical density 2178 kg/m3, total magnetic moment 4.48 μB/f.u.. Number 3: theoretical density 4302 kg/m3, total magnetic moment 4.00 μB/f.u.. Number 4: theoretical density 3307 kg/m3, total magnetic moment 0.00 μB/f.u.. Number 5: theoretical density 1584 kg/m3, total magnetic moment 4.94 μB/f.u.. Number 6: theoretical density 3673 kg/m3, total magnetic moment 2.29 μB/f.u..